LiCo2O4 | PBE with a Hubbard U | relaxed

CIF file:
```
data_LiCo2O4
_chemical_formula_sum 'Li2 Co4 O8'
_cell_length_a 4.8766
_cell_length_b 5.6460
_cell_length_c 5.7730
_cell_angle_alpha 63.53
_cell_angle_beta 76.32
_cell_angle_gamma 89.84
_space_group_name_H-M_alt 'P -1'
_space_group_IT_number 2
loop_
_space_group_symop_operation_xyz
'x,y,z'
'-x,-y,-z'
loop_
_atom_site_label
_atom_site_fract_x
_atom_site_fract_y
_atom_site_fract_z
_atom_site_occupancy
Li1 0.2364 0.3068 0.0032 1
Co1 0.2485 0.3757 0.4985 1
Co2 0.2532 0.8735 0.5009 1
O1 0.0224 0.0314 0.6953 1
O2 0.0350 0.5388 0.7022 1
O3 0.4686 0.2166 0.2989 1
O4 0.4731 0.7130 0.3057 1
```

Results
size of the total moment	0.138	μB per atom
energy above the lowest structure with this stoichiometry	3.0	kJ/mol of formula units
electronic total energy	-40.014	eV per formula unit